First-principles (PBE) data for an optimized crystal structure of UGaAs, as listed in Alexandria.

Cell: 11.7947 8.6555 8.4339 Å, 87.28 47.14 45.58°
Atoms (fractional coordinates):
U 0.0743 0.0743 0.6757
U 0.3243 0.3243 0.9257
U 0.6757 0.6757 0.0743
U 0.9257 0.9257 0.3243
Ga 0.0486 0.2014 0.0486
Ga 0.2014 0.0486 0.2014
Ga 0.7986 0.9514 0.7986
Ga 0.9514 0.7986 0.9514
As 0.0000 0.5000 0.5000
As 0.5000 0.0000 0.5000
As 0.5000 0.5000 0.0000
As 0.5000 0.5000 0.5000

Summary:
space group = Fddd
ΔH_f (0 K) = -0.10 eV per atom

First-principles (PBE) data for an optimized crystal structure of Tm7CdTe2, as listed in Alexandria.

Cell: 8.5408 8.5408 5.3710 Å, 90.00 90.00 118.26°
Atoms (fractional coordinates):
Tm 0.0000 0.0000 0.0000
Tm 0.1986 0.4359 0.0000
Tm 0.2746 0.7254 0.5000
Tm 0.4359 0.1986 0.0000
Tm 0.5641 0.8014 0.0000
Tm 0.7254 0.2746 0.5000
Tm 0.8014 0.5641 0.0000
Cd 0.5000 0.5000 0.5000
Te 0.2009 0.7991 0.0000
Te 0.7991 0.2009 0.0000

Summary:
E_form (uncorrected) = 0 kJ/mol of atoms
space group = Cmmm

First-principles (PBE) data for an optimized crystal structure of BaCd2Mo, as listed in Alexandria.

Cell: 7.6479 7.6479 7.6479 Å, 90.00 90.00 90.00°
Atoms (fractional coordinates):
Ba 0.0000 0.0000 0.0000
Ba 0.0000 0.5000 0.5000
Ba 0.5000 0.0000 0.5000
Ba 0.5000 0.5000 0.0000
Cd 0.2500 0.2500 0.2500
Cd 0.2500 0.2500 0.7500
Cd 0.2500 0.7500 0.2500
Cd 0.2500 0.7500 0.7500
Cd 0.7500 0.2500 0.2500
Cd 0.7500 0.2500 0.7500
Cd 0.7500 0.7500 0.2500
Cd 0.7500 0.7500 0.7500
Mo 0.0000 0.0000 0.5000
Mo 0.0000 0.5000 0.0000
Mo 0.5000 0.0000 0.0000
Mo 0.5000 0.5000 0.5000

Summary:
energy above the most stable polymorph in this dataset = 172 meV per atom
space group = Fm-3m
ΔH_f (0 K) = 0.63 eV per atom

First-principles (PBE) data for an optimized crystal structure of Hf2MgCoCl, as listed in Alexandria.

Cell: 4.7318 4.7318 5.0552 Å, 90.00 90.00 90.00°
Atoms (fractional coordinates):
Hf 0.0000 0.5000 0.0000
Hf 0.5000 0.0000 0.0000
Mg 0.0000 0.0000 0.5000
Co 0.0000 0.0000 0.0000
Cl 0.5000 0.5000 0.5000

Summary:
E_form (uncorrected) = 9 kJ/mol of atoms
space group = P4/mmm

First-principles (PBE) data for an optimized crystal structure of YSc2ZnGe, as listed in Alexandria.

Cell: 4.9755 4.9755 5.2725 Å, 90.00 90.00 90.00°
Atoms (fractional coordinates):
Y 0.0000 0.0000 0.0000
Sc 0.0000 0.5000 0.5000
Sc 0.5000 0.0000 0.5000
Zn 0.0000 0.0000 0.5000
Ge 0.5000 0.5000 0.0000

Summary:
space group = P4/mmm
ΔH_f (0 K) = 0.10 eV per atom

First-principles (PBE) data for an optimized crystal structure of FeSb2PdI, as listed in Alexandria.

Cell: 5.2031 5.2031 5.4994 Å, 90.00 90.00 90.00°
Atoms (fractional coordinates):
Fe 0.0000 0.0000 0.0000
Sb 0.0000 0.5000 0.5000
Sb 0.5000 0.0000 0.5000
Pd 0.5000 0.5000 0.5000
I 0.5000 0.5000 0.0000

Summary:
energy above the most stable polymorph in this dataset = 276 meV per atom
E_form (uncorrected) = 82 kJ/mol of atoms
space group = P4/mmm

First-principles (PBE) data for an optimized crystal structure of LaBi2Pb, as listed in Alexandria.

Cell: 5.2082 5.2082 4.6476 Å, 90.00 90.00 90.00°
Atoms (fractional coordinates):
La 0.0000 0.0000 0.0000
Bi 0.0000 0.5000 0.5000
Bi 0.5000 0.0000 0.5000
Pb 0.5000 0.5000 0.0000

Summary:
space group = P4/mmm
ΔH_f (0 K) = -0.53 eV per atom

First-principles (PBE) data for an optimized crystal structure of Mo2Pt8W, as listed in Alexandria.

Cell: 7.2381 7.2381 5.1390 Å, 110.15 110.15 116.23°
Atoms (fractional coordinates):
Mo 0.1942 0.8058 0.0000
Mo 0.8058 0.1942 0.0000
Pt 0.1109 0.1109 0.3335
Pt 0.1783 0.4020 0.9096
Pt 0.2777 0.7223 0.5000
Pt 0.4020 0.1783 0.9096
Pt 0.5980 0.8217 0.0904
Pt 0.7223 0.2777 0.5000
Pt 0.8217 0.5980 0.0904
Pt 0.8891 0.8891 0.6665
W 0.5000 0.5000 0.5000

Summary:
space group = C2/m
ΔH_f (0 K) = 0.00 eV per atom

| no. | D(E_F) (states/eV per cell) | theoretical density (g cm⁻³) |
| --- | --- | --- |
| 1 | 15.4 | 9.8 |
| 2 | 12.9 | 7.5 |
| 3 | 17.1 | 6.8 |
| 4 | 3.1 | 7.0 |
| 5 | 5.6 | 4.0 |
| 6 | 8.2 | 5.9 |
| 7 | 2.8 | 10.1 |
| 8 | 11.0 | 17.6 |